# 1
The following is a DFT calculation (GGA-PBE) of a geometry-optimized AcCu2P2 structure.

Output
As for the formation energy: -336 kJ/mol of formula units. As for the space-group type: No. 139. As for the calculated total energy: -5.321 eV per atom.

a b c (Å): 3.9811 3.9811 6.3955
angles (deg): 108.13 108.13 90.00
Last column: nearest neighbours and their distance in Å.
Atoms (fractional coordinates):
Cu: 0.2500 0.7500 0.5000  4 P 2.38
Cu: 0.7500 0.2500 0.5000  4 P 2.38
P: 0.6364 0.6364 0.2729  4 Cu 2.38
P: 0.3636 0.3636 0.7271  4 Cu 2.38
Ac: 0.0000 0.0000 0.0000  8 P 3.22, 8 Cu 3.49

***

# 2
The following is a DFT calculation (GGA-PBE) of a geometry-optimized Ac2CuP structure.

Output
The value obtained for the relative energy among the computed polymorphs is 0.184 eV per atom. As for the formation energy: -187 kJ/mol of formula units. As for the space-group type: No. 225. As for the calculated total energy: -4.914 eV per atom.

a b c (Å): 5.3304 5.3304 5.3304
angles (deg): 60.00 60.00 60.00
Last column: nearest neighbours and their distance in Å.
Atoms (fractional coordinates):
P: 0.5000 0.5000 0.5000  8 Ac 3.26
Ac: 0.7500 0.7500 0.7500  4 P 3.26, 4 Cu 3.26
Ac: 0.2500 0.2500 0.2500  4 Cu 3.26, 4 P 3.26
Cu: 0.0000 0.0000 0.0000  8 Ac 3.26

***

# 3
The following is a DFT calculation (GGA-PBE) of a geometry-optimized AcCu3P3 structure.

Output
The value obtained for the relative energy among the computed polymorphs is 0.000 eV per atom. As for the formation energy: -301 kJ/mol of formula units. As for the space-group type: No. 223. As for the calculated total energy: -5.107 eV per atom.

a b c (Å): 6.3795 6.3795 6.3795
angles (deg): 90.00 90.00 90.00
Last column: nearest neighbours and their distance in Å.
Atoms (fractional coordinates):
Cu: 0.5000 0.7500 0.0000  4 P 2.26
Cu: 0.5000 0.2500 0.0000  4 P 2.26
Cu: 0.0000 0.5000 0.7500  4 P 2.26
Cu: 0.7500 0.0000 0.5000  4 P 2.26
Cu: 0.0000 0.5000 0.2500  4 P 2.26
Cu: 0.2500 0.0000 0.5000  4 P 2.26
P: 0.5000 0.0000 0.7500  4 Cu 2.26
P: 0.5000 0.0000 0.2500  4 Cu 2.26
P: 0.7500 0.5000 0.0000  4 Cu 2.26
P: 0.0000 0.7500 0.5000  4 Cu 2.26
P: 0.2500 0.5000 0.0000  4 Cu 2.26
P: 0.0000 0.2500 0.5000  4 Cu 2.26
Ac: 0.5000 0.5000 0.5000  12 Cu 3.57, 12 P 3.57
Ac: 0.0000 0.0000 0.0000  12 Cu 3.57, 12 P 3.57

***

# 4
The following is a DFT calculation (GGA-PBE) of a geometry-optimized Ac2CuP structure.

Output
The value obtained for the relative energy among the computed polymorphs is 0.083 eV per atom. As for the formation energy: -226 kJ/mol of formula units. As for the space-group type: No. 123. As for the calculated total energy: -5.015 eV per atom.

a b c (Å): 3.8733 5.2554 5.2554
angles (deg): 90.00 90.00 90.00
Last column: nearest neighbours and their distance in Å.
Atoms (fractional coordinates):
Cu: 0.5000 0.0000 0.0000  8 Ac 3.26
Ac: 0.0000 0.0000 0.5000  4 Cu 3.26, 4 P 3.26
Ac: 0.0000 0.5000 0.0000  4 Cu 3.26, 4 P 3.26
P: 0.5000 0.5000 0.5000  8 Ac 3.26

***

# 5
The following is a DFT calculation (GGA-PBE) of a geometry-optimized AcCu4P3 structure.

Output
As for the formation energy: -335 kJ/mol of formula units. As for the space-group type: No. 123. As for the calculated total energy: -5.024 eV per atom.

a b c (Å): 4.1499 4.1499 7.5240
angles (deg): 90.00 90.00 90.00
Last column: nearest neighbours and their distance in Å.
Atoms (fractional coordinates):
P: 0.5000 0.5000 0.3411  1 P 2.39, 4 Cu 2.44
P: 0.0000 0.0000 0.0000  8 Cu 2.44
P: 0.5000 0.5000 0.6589  1 P 2.39, 4 Cu 2.44
Cu: 0.0000 0.5000 0.1701  4 P 2.44, 1 Cu 2.56
Cu: 0.5000 0.0000 0.8299  4 P 2.44, 1 Cu 2.56
Cu: 0.5000 0.0000 0.1701  4 P 2.44, 1 Cu 2.56
Cu: 0.0000 0.5000 0.8299  4 P 2.44, 1 Cu 2.56
Ac: 0.0000 0.0000 0.5000  8 P 3.17, 8 Cu 3.24

***

# 6
The following is a DFT calculation (GGA-PBE) of a geometry-optimized AcCu7P3 structure.

Output
As for the formation energy: -243 kJ/mol of formula units. As for the space-group type: No. 167. As for the calculated total energy: -4.684 eV per atom.

a b c (Å): 7.6835 7.6835 7.9564
angles (deg): 61.13 61.13 60.00
Last column: nearest neighbours and their distance in Å.
Atoms (fractional coordinates):
Cu: 0.1659 0.3486 0.9256  3 P 2.38-2.57, 3 Cu 2.62
Cu: 0.1514 0.3341 0.5744  3 P 2.38-2.57, 3 Cu 2.62
Cu: 0.3486 0.5599 0.9256  3 P 2.38-2.57, 3 Cu 2.62
Cu: 0.2500 0.2500 0.2500  3 P 2.55, 6 Cu 2.62
Cu: 0.9401 0.1514 0.5744  3 P 2.38-2.57, 3 Cu 2.62
Cu: 0.0599 0.8486 0.4256  3 P 2.38-2.57, 3 Cu 2.62
Cu: 0.6659 0.0599 0.4256  3 P 2.38-2.57, 3 Cu 2.62
Cu: 0.3341 0.9401 0.5744  3 P 2.38-2.57, 3 Cu 2.62
Cu: 0.6514 0.4401 0.0744  3 P 2.38-2.57, 3 Cu 2.62
Cu: 0.4401 0.8341 0.0744  3 P 2.38-2.57, 3 Cu 2.62
Cu: 0.8341 0.6514 0.0744  3 P 2.38-2.57, 3 Cu 2.62
Cu: 0.5599 0.1659 0.9256  3 P 2.38-2.57, 3 Cu 2.62
Cu: 0.7500 0.7500 0.7500  3 P 2.55, 6 Cu 2.62
Cu: 0.8486 0.6659 0.4256  3 P 2.38-2.57, 3 Cu 2.62
P: 0.0823 0.7500 0.7500  7 Cu 2.38-2.57
P: 0.9177 0.2500 0.2500  7 Cu 2.38-2.57
P: 0.7500 0.4177 0.7500  7 Cu 2.38-2.57
P: 0.4177 0.0823 0.7500  7 Cu 2.38-2.57
P: 0.5823 0.9177 0.2500  7 Cu 2.38-2.57
P: 0.2500 0.5823 0.2500  7 Cu 2.38-2.57
Ac: 0.0000 0.0000 0.0000  6 P 3.05, 12 Cu 3.19-3.21
Ac: 0.5000 0.5000 0.5000  6 P 3.05, 12 Cu 3.19-3.21

***

# 7
The following is a DFT calculation (GGA-PBE) of a geometry-optimized AcCu5P2 structure.

Output
As for the formation energy: -286 kJ/mol of formula units. As for the space-group type: No. 71. As for the calculated total energy: -4.797 eV per atom.

a b c (Å): 4.0147 6.0822 6.0822
angles (deg): 67.51 70.73 70.73
Last column: nearest neighbours and their distance in Å.
Atoms (fractional coordinates):
Cu: 0.3524 0.4650 0.8302  3 P 2.37-2.52, 1 Cu 2.47
Cu: 0.6476 0.1698 0.5350  3 P 2.37-2.52, 1 Cu 2.47
Cu: 0.3524 0.8302 0.4650  3 P 2.37-2.52, 1 Cu 2.47
Cu: 0.0000 0.5000 0.5000  2 P 2.26
Cu: 0.6476 0.5350 0.1698  3 P 2.37-2.52, 1 Cu 2.47
P: 0.2434 0.2566 0.2566  7 Cu 2.26-2.52
P: 0.7566 0.7434 0.7434  7 Cu 2.26-2.52
Ac: 0.0000 0.0000 0.0000  4 P 3.11, 10 Cu 3.24-3.38

***

# 8
The following is a DFT calculation (GGA-PBE) of a geometry-optimized Ac2CuP structure.

Output
The value obtained for the relative energy among the computed polymorphs is 0.000 eV per atom. As for the formation energy: -258 kJ/mol of formula units. As for the space-group type: No. 166. As for the calculated total energy: -5.098 eV per atom.

a b c (Å): 4.3399 4.3399 7.9995
angles (deg): 74.26 74.26 60.00
Last column: nearest neighbours and their distance in Å.
Atoms (fractional coordinates):
Ac: 0.2543 0.2543 0.2370  3 P 3.09, 3 Cu 3.20
Ac: 0.7457 0.7457 0.7630  3 P 3.09, 3 Cu 3.20
P: 0.0000 0.0000 0.0000  6 Ac 3.09
Cu: 0.5000 0.5000 0.5000  6 Ac 3.20

***

# 9
The following is a DFT calculation (GGA-PBE) of a geometry-optimized AcCu4P2 structure.

Output
The value obtained for the relative energy among the computed polymorphs is 0.029 eV per atom. As for the formation energy: -290 kJ/mol of formula units. As for the space-group type: No. 136. As for the calculated total energy: -4.902 eV per atom.

a b c (Å): 3.9515 7.5702 7.5702
angles (deg): 90.00 90.00 90.00
Last column: nearest neighbours and their distance in Å.
Atoms (fractional coordinates):
P: 0.0000 0.2172 0.7828  6 Cu 2.45-2.54
P: 0.0000 0.7828 0.2172  6 Cu 2.45-2.54
P: 0.5000 0.7172 0.7172  6 Cu 2.45-2.54
P: 0.5000 0.2828 0.2828  6 Cu 2.45-2.54
Cu: 0.5000 0.8418 0.4188  3 P 2.45-2.54, 1 Cu 2.69
Cu: 0.0000 0.6582 0.9188  3 P 2.45-2.54, 1 Cu 2.69
Cu: 0.5000 0.1582 0.5812  3 P 2.45-2.54, 1 Cu 2.69
Cu: 0.0000 0.3418 0.0812  3 P 2.45-2.54, 1 Cu 2.69
Cu: 0.5000 0.5812 0.1582  3 P 2.45-2.54, 1 Cu 2.69
Cu: 0.5000 0.4188 0.8418  3 P 2.45-2.54, 1 Cu 2.69
Cu: 0.0000 0.9188 0.6582  3 P 2.45-2.54, 1 Cu 2.69
Cu: 0.0000 0.0812 0.3418  3 P 2.45-2.54, 1 Cu 2.69
Ac: 0.0000 0.5000 0.5000  6 P 3.03-3.05, 12 Cu 3.31-3.39
Ac: 0.5000 0.0000 0.0000  6 P 3.03-3.05, 12 Cu 3.31-3.39

***

# 10
The following is a DFT calculation (GGA-PBE) of a geometry-optimized AcCu4P2 structure.

Output
The value obtained for the relative energy among the computed polymorphs is 0.000 eV per atom. As for the formation energy: -309 kJ/mol of formula units. As for the space-group type: No. 166. As for the calculated total energy: -4.931 eV per atom.

a b c (Å): 4.0921 4.0921 8.1774
angles (deg): 75.51 75.51 60.00
Last column: nearest neighbours and their distance in Å.
Atoms (fractional coordinates):
P: 0.7539 0.7539 0.7382  4 Cu 2.33-2.39
P: 0.2461 0.2461 0.2618  4 Cu 2.33-2.39
Cu: 0.1470 0.1470 0.5590  1 P 2.33, 6 Cu 2.54-2.59
Cu: 0.5645 0.5645 0.3066  3 P 2.39, 3 Cu 2.59
Cu: 0.4355 0.4355 0.6934  3 P 2.39, 3 Cu 2.59
Cu: 0.8530 0.8530 0.4410  1 P 2.33, 6 Cu 2.54-2.59
Ac: 0.0000 0.0000 0.0000  6 P 3.13, 8 Cu 3.37-3.45

***

> Which of these has the highest calculated total energy?

AcCu7P3

***

> Which of these has the lowest calculated total energy?

AcCu2P2

***

Repeat the first record exactly.
The following is a DFT calculation (GGA-PBE) of a geometry-optimized AcCu2P2 structure.

Output
As for the formation energy: -336 kJ/mol of formula units. As for the space-group type: No. 139. As for the calculated total energy: -5.321 eV per atom.

a b c (Å): 3.9811 3.9811 6.3955
angles (deg): 108.13 108.13 90.00
Last column: nearest neighbours and their distance in Å.
Atoms (fractional coordinates):
Cu: 0.2500 0.7500 0.5000  4 P 2.38
Cu: 0.7500 0.2500 0.5000  4 P 2.38
P: 0.6364 0.6364 0.2729  4 Cu 2.38
P: 0.3636 0.3636 0.7271  4 Cu 2.38
Ac: 0.0000 0.0000 0.0000  8 P 3.22, 8 Cu 3.49

***

What did the sixth record say?
The following is a DFT calculation (GGA-PBE) of a geometry-optimized AcCu7P3 structure.

Output
As for the formation energy: -243 kJ/mol of formula units. As for the space-group type: No. 167. As for the calculated total energy: -4.684 eV per atom.

a b c (Å): 7.6835 7.6835 7.9564
angles (deg): 61.13 61.13 60.00
Last column: nearest neighbours and their distance in Å.
Atoms (fractional coordinates):
Cu: 0.1659 0.3486 0.9256  3 P 2.38-2.57, 3 Cu 2.62
Cu: 0.1514 0.3341 0.5744  3 P 2.38-2.57, 3 Cu 2.62
Cu: 0.3486 0.5599 0.9256  3 P 2.38-2.57, 3 Cu 2.62
Cu: 0.2500 0.2500 0.2500  3 P 2.55, 6 Cu 2.62
Cu: 0.9401 0.1514 0.5744  3 P 2.38-2.57, 3 Cu 2.62
Cu: 0.0599 0.8486 0.4256  3 P 2.38-2.57, 3 Cu 2.62
Cu: 0.6659 0.0599 0.4256  3 P 2.38-2.57, 3 Cu 2.62
Cu: 0.3341 0.9401 0.5744  3 P 2.38-2.57, 3 Cu 2.62
Cu: 0.6514 0.4401 0.0744  3 P 2.38-2.57, 3 Cu 2.62
Cu: 0.4401 0.8341 0.0744  3 P 2.38-2.57, 3 Cu 2.62
Cu: 0.8341 0.6514 0.0744  3 P 2.38-2.57, 3 Cu 2.62
Cu: 0.5599 0.1659 0.9256  3 P 2.38-2.57, 3 Cu 2.62
Cu: 0.7500 0.7500 0.7500  3 P 2.55, 6 Cu 2.62
Cu: 0.8486 0.6659 0.4256  3 P 2.38-2.57, 3 Cu 2.62
P: 0.0823 0.7500 0.7500  7 Cu 2.38-2.57
P: 0.9177 0.2500 0.2500  7 Cu 2.38-2.57
P: 0.7500 0.4177 0.7500  7 Cu 2.38-2.57
P: 0.4177 0.0823 0.7500  7 Cu 2.38-2.57
P: 0.5823 0.9177 0.2500  7 Cu 2.38-2.57
P: 0.2500 0.5823 0.2500  7 Cu 2.38-2.57
Ac: 0.0000 0.0000 0.0000  6 P 3.05, 12 Cu 3.19-3.21
Ac: 0.5000 0.5000 0.5000  6 P 3.05, 12 Cu 3.19-3.21